Compound: Pa2GeW
Source: the Alexandria database
Functional: GGA-PBE
Structure: optimized geometry

Lattice parameters (Å, degrees): 4.422 4.422 4.217 90.00 90.00 90.00
Space group P4/mmm (No. 123)
Symmetry-distinct sites (fractional):
Pa 0.000 0.500 0.000 x2
Ge 0.000 0.000 0.500 x1
W 0.500 0.500 0.500 x1

Computed properties:
total magnetic moment: 0.00 μB/f.u.
N(E_F): 4.9 states/eV/f.u.
calculated formation energy: -76 meV per atom
offset from the most stable computed form: 0.0 kJ/mol of formula units
calculated total energy: -36.9 eV per cell